Here is an optimized crystal structure of InB2H from Alexandria. Energies are from PBE-GGA.

abc: 3.9919 3.9919 3.9919
angles: 60.00 60.00 60.00
Last column: nearest neighbours and their distance in Å.
Sites, in units of the cell vectors:
H  0.0000  0.0000  0.0000  8 B 2.44
In  0.5000  0.5000  0.5000  8 B 2.44
B  0.2500  0.2500  0.2500  4 H 2.44, 4 In 2.44
B  0.7500  0.7500  0.7500  4 In 2.44, 4 H 2.44

Calculated values
Uncorrected energy = -0.11293 hartree per atom
E above lowest polymorph = 955 meV per atom

***

Here is an optimized crystal structure of In2BH from Alexandria. Energies are from PBE-GGA.

abc: 4.9740 4.9740 6.8513
angles: 68.72 68.72 90.00
Last column: nearest neighbours and their distance in Å.
Sites, in units of the cell vectors:
In  0.1122  0.6250  0.2500  2 B 2.26, 2 H 2.33
B  0.7500  0.2500  0.5000  4 In 2.26
In  0.6378  0.1250  0.2500  2 B 2.26, 2 H 2.33
In  0.3750  0.3622  0.7500  2 B 2.26, 2 H 2.33
B  0.0000  0.0000  0.0000  4 In 2.26
H  0.2500  0.7500  0.5000  4 In 2.33
H  0.5000  0.5000  0.0000  4 In 2.33
In  0.8750  0.8878  0.7500  2 B 2.26, 2 H 2.33

Calculated values
Uncorrected energy = -0.11890 hartree per atom
E above lowest polymorph = 0 meV per atom

***

Here is an optimized crystal structure of InBH2 from Alexandria. Energies are from PBE-GGA.

abc: 3.7809 3.7809 3.7809
angles: 60.00 60.00 60.00
Last column: nearest neighbours and their distance in Å.
Sites, in units of the cell vectors:
H  0.2500  0.2500  0.2500  4 In 2.32, 4 B 2.32
In  0.5000  0.5000  0.5000  8 H 2.32
B  0.0000  0.0000  0.0000  8 H 2.32
H  0.7500  0.7500  0.7500  4 In 2.32, 4 B 2.32

Calculated values
Uncorrected energy = -0.10052 hartree per atom
E above lowest polymorph = 565 meV per atom

***

Here is an optimized crystal structure of KInBP2HO9 from Alexandria. Energies are from PBE-GGA.

abc: 5.3499 8.4855 8.4578
angles: 88.56 80.02 87.17
Last column: nearest neighbours and their distance in Å.
Sites, in units of the cell vectors:
In  0.2834  0.6900  0.7929  6 O 2.15-2.22
O  0.8714  0.8312  0.5366  1 B 1.46, 1 P 1.57
O  0.5411  0.4846  0.7386  1 P 1.56
K  0.2818  0.1714  0.8816  10 O 2.86-3.20
P  0.1907  0.0781  0.3014  4 O 1.53-1.57
P  0.8093  0.9219  0.6986  4 O 1.53-1.57
In  0.7166  0.3100  0.2071  6 O 2.15-2.22
O  0.0752  0.4225  0.1499  1 P 1.52
O  0.2488  0.9003  0.3409  1 B 1.50, 1 P 1.56
K  0.7182  0.8286  0.1184  10 O 2.86-3.20
O  0.1286  0.1688  0.4634  1 B 1.46, 1 P 1.57
O  0.4589  0.5154  0.2614  1 P 1.56
O  0.0298  0.6602  0.3251  1 B 1.48, 1 P 1.59
O  0.5617  0.8660  0.7973  1 P 1.53
O  0.0318  0.9058  0.7924  1 P 1.54
B  0.1057  0.7726  0.4365  4 O 1.46-1.50
H  0.6051  0.3826  0.5343  1 O 0.98
O  0.7512  0.0997  0.6591  1 B 1.50, 1 P 1.56
O  0.4383  0.1340  0.2027  1 P 1.53
P  0.7852  0.4359  0.8093  4 O 1.52-1.59
H  0.3949  0.6174  0.4657  1 O 0.98
O  0.9248  0.5775  0.8501  1 P 1.52
O  0.9682  0.0942  0.2076  1 P 1.54
O  0.2803  0.6922  0.5340  1 H 0.98
P  0.2148  0.5641  0.1907  4 O 1.52-1.59
B  0.8943  0.2274  0.5635  4 O 1.46-1.50
O  0.2858  0.6788  0.0469  1 P 1.54
O  0.9702  0.3398  0.6749  1 B 1.48, 1 P 1.59
O  0.7197  0.3078  0.4660  1 H 0.98
O  0.7142  0.3212  0.9531  1 P 1.54

Calculated values
Uncorrected energy = -0.24738 hartree per atom

***

Copy entry 1 word for word.
Here is an optimized crystal structure of InB2H from Alexandria. Energies are from PBE-GGA.

abc: 3.9919 3.9919 3.9919
angles: 60.00 60.00 60.00
Last column: nearest neighbours and their distance in Å.
Sites, in units of the cell vectors:
H  0.0000  0.0000  0.0000  8 B 2.44
In  0.5000  0.5000  0.5000  8 B 2.44
B  0.2500  0.2500  0.2500  4 H 2.44, 4 In 2.44
B  0.7500  0.7500  0.7500  4 In 2.44, 4 H 2.44

Calculated values
Uncorrected energy = -0.11293 hartree per atom
E above lowest polymorph = 955 meV per atom

***

> uncorrected energy of number 4 (KInBP2HO9)?

-0.24738 hartree per atom

***

> What is the uncorrected energy in the first record?

-0.11293 hartree per atom

***

> Which formula does entry 3 have?

InBH2